Material: NdAlTl2Se4
Method: DFT, PBE-GGA
State: optimized geometry

Properties
The electronic total energy comes out at -4.29 eV per atom. As for the space group: Imma, No. 74.

POSCAR file:
```
NdAlTl2Se4
1.0
-4.139 4.440 6.092
4.139 -4.440 6.092
4.139 4.440 -6.092
Nd Al Tl Se
2 2 4 8
Cartesian
0.000 0.000 0.000
0.000 4.440 0.000
-2.070 2.220 3.046
2.070 2.220 3.046
2.070 2.220 -3.046
2.070 -2.220 3.046
4.139 0.000 0.000
0.000 0.000 6.092
1.936 2.220 0.350
2.203 -2.220 6.442
0.000 0.466 2.972
4.139 0.466 3.120
0.000 3.974 2.972
4.139 3.974 3.120
1.936 6.660 -0.350
2.203 2.220 5.742
```